Record 1
## AcMgIn3 (PBE)

Data for crystalline AcMgIn3 at its relaxed geometry.

Geometry as POSCAR:
```
AcMgIn3
1.0
4.496 0.000 -1.812
-0.730 4.437 -1.812
0.182 0.214 6.936
In Ac Mg
3 1 1
Direct
0.411 0.411 0.822
0.765 0.265 0.529
0.265 0.765 0.529
0.013 0.013 0.026
0.637 0.637 0.275
```

Calculated values
SG: I4mm, No. 107
N(E_F) in states/eV per atom: 0.2982

Record 2
## AcMg6In2 (PBE)

Data for crystalline AcMg6In2 at its relaxed geometry.

Geometry as POSCAR:
```
AcMg6In2
1.0
4.718 0.000 0.000
0.000 4.718 0.000
0.000 0.000 10.462
In Mg Ac
2 6 1
Direct
0.500 0.500 0.864
0.500 0.500 0.136
0.500 0.000 0.701
0.000 0.500 0.299
0.500 0.500 0.500
0.000 0.500 0.701
0.000 0.000 0.500
0.500 0.000 0.299
0.000 0.000 0.000
```

Calculated values
SG: P4/mmm, No. 123
N(E_F) in states/eV per atom: 0.2909

Record 3
## Ac3Mg7In4 (PBE)

Data for crystalline Ac3Mg7In4 at its relaxed geometry.

Geometry as POSCAR:
```
Ac3Mg7In4
1.0
-3.161 3.361 -1.856
-6.440 1.329 6.713
1.753 7.978 4.802
Ac Mg In
3 7 4
Direct
0.297 0.200 0.205
0.000 0.500 0.500
0.703 0.800 0.795
0.503 0.807 0.188
0.665 0.187 0.482
0.000 0.000 0.000
0.848 0.377 0.926
0.335 0.813 0.518
0.497 0.193 0.812
0.152 0.623 0.074
0.652 0.473 0.224
0.132 0.085 0.651
0.348 0.527 0.776
0.868 0.915 0.349
```

Calculated values
SG: C2/m, No. 12
N(E_F) in states/eV per atom: 0.4643

Record 4
## AcMg2In4 (PBE)

Data for crystalline AcMg2In4 at its relaxed geometry.

Geometry as POSCAR:
```
AcMg2In4
1.0
5.977 0.000 -1.806
-0.546 5.952 -1.806
-1.142 -1.252 7.014
In Ac Mg
4 1 2
Direct
0.500 0.000 0.000
0.250 0.750 0.500
0.000 0.500 0.000
0.750 0.250 0.500
0.000 0.000 0.000
0.359 0.359 0.717
0.641 0.641 0.283
```

Calculated values
SG: I4/mmm, No. 139
N(E_F) in states/eV per atom: 0.6135

Record 5
## Ac3MgIn12 (PBE)

Data for crystalline Ac3MgIn12 at its relaxed geometry.

Geometry as POSCAR:
```
Ac3MgIn12
1.0
-3.787 -0.648 -2.988
-2.808 -1.145 3.807
-4.783 18.521 2.045
Ac In Mg
3 12 1
Direct
0.000 0.000 0.238
0.000 0.000 0.500
0.000 0.000 0.762
0.500 0.500 0.500
0.500 0.500 0.000
0.500 0.000 0.630
0.000 0.500 0.630
0.000 0.500 0.892
0.500 0.000 0.370
0.000 0.500 0.370
0.500 0.500 0.254
0.500 0.000 0.892
0.500 0.500 0.746
0.000 0.500 0.108
0.500 0.000 0.108
0.000 0.000 0.000
```

Calculated values
SG: P4/mmm, No. 123
N(E_F) in states/eV per atom: 0.3376

Record 6
## Ac6MgIn3 (PBE)

Data for crystalline Ac6MgIn3 at its relaxed geometry.

Geometry as POSCAR:
```
Ac6MgIn3
1.0
7.177 0.000 0.000
0.000 10.375 0.270
0.000 -2.052 10.173
Mg In Ac
2 6 12
Direct
0.127 0.264 0.736
0.627 0.736 0.264
0.913 0.769 0.013
0.413 0.231 0.987
0.413 0.013 0.769
0.913 0.987 0.231
0.780 0.546 0.454
0.280 0.454 0.546
0.262 0.535 0.956
0.103 0.753 0.695
0.138 0.687 0.313
0.883 0.077 0.923
0.638 0.313 0.687
0.762 0.956 0.535
0.383 0.923 0.077
0.603 0.695 0.753
0.262 0.044 0.465
0.762 0.465 0.044
0.603 0.247 0.305
0.103 0.305 0.247
```

Calculated values
SG: Cmc2_1, No. 36
N(E_F) in states/eV per atom: 1.0529

Record 7
## Ac2Mg5In3 (PBE)

Data for crystalline Ac2Mg5In3 at its relaxed geometry.

Geometry as POSCAR:
```
Ac2Mg5In3
1.0
6.349 0.000 2.402
2.780 9.061 2.244
-0.054 -0.296 9.735
Ac In Mg
4 6 10
Direct
0.624 0.121 0.632
0.376 0.879 0.368
0.876 0.368 0.879
0.124 0.632 0.121
0.625 0.518 0.232
0.750 0.000 0.000
0.250 0.000 0.000
0.125 0.232 0.518
0.875 0.768 0.482
0.375 0.482 0.768
0.509 0.741 0.741
0.991 0.259 0.259
0.009 0.741 0.741
0.750 0.500 0.500
0.375 0.257 0.994
0.250 0.500 0.500
0.625 0.743 0.006
0.125 0.006 0.743
0.875 0.994 0.257
0.491 0.259 0.259
```

Calculated values
SG: Ibam, No. 72
Distance to the lowest polymorph of the same formula in meV/atom: 0
N(E_F) in states/eV per atom: 0.3824

Record 8
## Ac3Mg2In (PBE)

Data for crystalline Ac3Mg2In at its relaxed geometry.

Geometry as POSCAR:
```
Ac3Mg2In
1.0
-3.979 0.178 -1.038
0.699 -2.587 -3.124
-2.359 -9.566 7.395
Ac In Mg
3 1 2
Direct
0.000 0.000 0.000
0.000 0.000 0.336
0.000 0.000 0.664
0.500 0.500 0.500
0.500 0.500 0.164
0.500 0.500 0.836
```

Calculated values
SG: P4/mmm, No. 123
Distance to the lowest polymorph of the same formula in meV/atom: 11
N(E_F) in states/eV per atom: 1.2948

Record 9
## Ac8MgIn2 (PBE)

Data for crystalline Ac8MgIn2 at its relaxed geometry.

Geometry as POSCAR:
```
Ac8MgIn2
1.0
5.724 0.000 0.000
0.000 7.767 0.468
-2.862 -2.740 9.737
Ac In Mg
8 2 1
Direct
0.338 0.045 0.675
0.662 0.955 0.325
0.196 0.293 0.392
0.804 0.707 0.608
0.974 0.244 0.949
0.026 0.756 0.051
0.407 0.538 0.814
0.593 0.462 0.186
0.806 0.272 0.612
0.194 0.728 0.388
0.500 0.000 0.000
```

Calculated values
SG: C2/m, No. 12
Distance to the lowest polymorph of the same formula in meV/atom: 0
N(E_F) in states/eV per atom: 1.0760

Record 10
## Ac2Mg5In3 (PBE)

Data for crystalline Ac2Mg5In3 at its relaxed geometry.

Geometry as POSCAR:
```
Ac2Mg5In3
1.0
-4.234 1.949 -0.505
-1.035 -1.100 4.438
4.783 11.416 3.946
Mg Ac In
5 2 3
Direct
0.000 0.000 0.000
0.000 0.500 0.143
0.500 0.500 0.000
0.500 0.000 0.857
0.500 0.500 0.500
0.000 0.500 0.740
0.500 0.000 0.260
0.500 0.000 0.641
0.000 0.500 0.359
0.000 0.000 0.500
```

Calculated values
SG: P-4m2, No. 115
Distance to the lowest polymorph of the same formula in meV/atom: 57
N(E_F) in states/eV per atom: 0.5822

Record 11
## AcMg5In2 (PBE)

Data for crystalline AcMg5In2 at its relaxed geometry.

Geometry as POSCAR:
```
AcMg5In2
1.0
-1.802 -1.210 -4.029
4.980 -3.910 -3.653
-1.804 -7.076 0.331
Mg Ac In
5 1 2
Direct
0.646 0.172 0.535
0.354 0.465 0.828
0.354 0.828 0.465
0.646 0.535 0.172
0.000 0.500 0.500
0.000 0.000 0.000
0.262 0.238 0.238
0.738 0.762 0.762
```

Calculated values
SG: Immm, No. 71
N(E_F) in states/eV per atom: 0.3334

Record 12
## Ac2MgIn6 (PBE)

Data for crystalline Ac2MgIn6 at its relaxed geometry.

Geometry as POSCAR:
```
Ac2MgIn6
1.0
-2.010 5.181 -4.589
-5.993 3.807 1.236
0.427 6.905 1.920
Ac In Mg
2 6 1
Direct
0.750 0.750 0.753
0.250 0.250 0.247
0.784 0.784 0.218
0.217 0.785 0.783
0.215 0.783 0.217
0.785 0.217 0.783
0.216 0.216 0.782
0.783 0.215 0.217
0.500 0.500 0.500
```

Calculated values
SG: C2/m, No. 12
N(E_F) in states/eV per atom: 0.7723

The energy of formation from the pure elements results, record by record, are as follows: -1.5 -1.6 -4.1 1.0 -4.9 -1.5 -2.6 -1.1 -1.3 -2.1 -1.5 -3.1 eV/f.u..